Record 1
Cd2InMo (SCAN, single point on PBEsol structure); energy = -31.7631 eV per atom; SG = F-43m (216); energy of formation = 0.512 eV per atom; D(E_F) = 1.757 states/eV/cell; total moment = 2.8 μB per formula unit
1.0
0.000 3.362 3.362
3.362 0.000 3.362
3.362 3.362 0.000
Cd In Mo
2 1 1
Direct
0.000 0.000 0.000 Cd
0.250 0.250 0.250 Cd
0.750 0.750 0.750 In
0.500 0.500 0.500 Mo

***

Record 2
Cd2InMo (SCAN, single point on PBEsol structure); energy = -31.8785 eV per atom; SG = R-3m (166); energy of formation = 0.397 eV per atom; D(E_F) = 1.770 states/eV/cell; total moment = 0.0 μB per formula unit
1.0
1.500 0.866 10.043
-1.500 0.866 10.043
0.000 -1.732 10.043
Cd In Mo
2 1 1
Direct
0.244 0.244 0.244 Cd
0.756 0.756 0.756 Cd
0.000 0.000 0.000 In
0.500 0.500 0.500 Mo

***

Record 3
Cd2InMo (SCAN, single point on PBEsol structure); energy = -31.9286 eV per atom; SG = R3m (160); energy of formation = 0.346 eV per atom; D(E_F) = 2.468 states/eV/cell; total moment = 0.0 μB per formula unit
1.0
1.502 0.867 9.841
-1.502 0.867 9.841
0.000 -1.734 9.841
Cd In Mo
2 1 1
Direct
0.000 0.000 0.000 Cd
0.247 0.247 0.247 Cd
0.757 0.757 0.757 In
0.502 0.502 0.502 Mo

***

Record 4
Cd2InMo (SCAN, single point on PBEsol structure); energy = -31.9408 eV per atom; SG = Immm (71); energy of formation = 0.334 eV per atom; D(E_F) = 1.639 states/eV/cell; total moment = 0.0 μB per formula unit
1.0
-1.531 2.392 5.257
1.531 -2.392 5.257
1.531 2.392 -5.257
Cd In Mo
2 1 1
Direct
0.231 0.231 0.000 Cd
0.769 0.769 0.000 Cd
0.500 0.000 0.500 In
0.000 0.500 0.500 Mo

***

Record 5
Cd2InMo (SCAN, single point on PBEsol structure); energy = -31.8309 eV per atom; SG = P4mm (99); energy of formation = 0.444 eV per atom; D(E_F) = 1.979 states/eV/cell; total moment = 1.9 μB per formula unit
1.0
3.530 0.000 0.000
0.000 3.530 0.000
0.000 0.000 6.161
Cd In Mo
2 1 1
Direct
0.000 0.000 0.000 Cd
0.500 0.500 0.249 Cd
0.000 0.000 0.536 In
0.500 0.500 0.746 Mo

***

Record 6
CdIn2Mo (SCAN, single point on PBEsol structure); energy = -32.7001 eV per atom; SG = Pmm2 (25); energy of formation = 0.318 eV per atom; D(E_F) = 1.582 states/eV/cell; total moment = 0.0 μB per formula unit
1.0
2.920 0.000 0.000
0.000 5.162 0.000
0.000 0.000 5.142
Cd In Mo
1 2 1
Direct
0.000 0.000 0.000 Cd
0.000 0.500 0.307 In
0.500 0.000 0.517 In
0.500 0.500 0.804 Mo

***

Record 7
CdInMo2 (SCAN, single point on PBEsol structure); energy = -33.0628 eV per atom; SG = Pm (6); offset from the most stable computed form = 38 meV/atom; energy of formation = 0.330 eV per atom; D(E_F) = 1.706 states/eV/cell; total moment = 0.0 μB per formula unit
1.0
2.836 0.000 0.000
0.000 4.549 0.000
-0.731 0.000 5.412
Cd In Mo
1 1 2
Direct
0.000 0.000 0.000 Cd
0.868 0.500 0.272 In
0.364 0.500 0.749 Mo
0.512 0.000 0.526 Mo

***

Record 8
CdInMo2 (SCAN, single point on PBEsol structure); energy = -33.1012 eV per atom; SG = Cmm2 (35); offset from the most stable computed form = 0 meV/atom; energy of formation = 0.292 eV per atom; D(E_F) = 1.903 states/eV/cell; total moment = 0.0 μB per formula unit
1.0
1.605 -2.387 0.000
1.605 2.387 0.000
0.000 0.000 9.500
Cd In Mo
1 1 2
Direct
0.000 0.000 0.000 Cd
0.500 0.500 0.714 In
0.000 0.000 0.461 Mo
0.500 0.500 0.254 Mo